# ScB4Ir

A relaxed ScB4Ir crystal (GGA-PBE, OQMD).

Output
**Magnetic moment**: 0.003 μB/f.u.
**Energy relative to the lowest polymorph listed for this composition**: 0.00 eV/f.u.

```
24
Lattice="5.8638 0.0000 0.0000 0.0000 11.3793 0.0000 0.0000 0.0000 3.4638" Properties=species:S:1:pos:R:3 pbc="T T T"
Sc 0.7770 1.6830 0.0000
Sc 2.1549 7.3726 0.0000
Sc 3.7089 4.0066 0.0000
Sc 5.0869 9.6962 0.0000
B 0.1398 7.9019 1.7319
B 0.6755 6.2406 1.7319
B 0.7786 11.0462 1.7319
B 1.1777 9.2398 1.7319
B 1.7543 3.5501 1.7319
B 2.1534 5.3565 1.7319
B 2.2564 0.5509 1.7319
B 2.7921 2.2123 1.7319
B 3.0717 9.1670 1.7319
B 3.6074 10.8283 1.7319
B 3.7105 6.0227 1.7319
B 4.1096 7.8291 1.7319
B 4.6862 2.1395 1.7319
B 5.0853 0.3331 1.7319
B 5.1883 5.1387 1.7319
B 5.7240 3.4773 1.7319
Ir 0.8547 4.5718 0.0000
Ir 2.0772 10.2614 0.0000
Ir 3.7866 1.1179 0.0000
Ir 5.0091 6.8075 0.0000
```

---

# SbPPtO

A relaxed SbPPtO crystal (GGA-PBE, OQMD).

Output
**Magnetic moment**: 0.003 μB/f.u.
**Energy relative to the lowest polymorph listed for this composition**: 0.00 eV/f.u.

```
8
Lattice="3.9496 0.0000 0.0000 0.0000 3.9496 0.0000 0.0000 0.0000 8.5848" Properties=species:S:1:pos:R:3 pbc="T T T"
Sb 0.9874 0.9874 1.1818
Sb 2.9622 2.9622 7.4030
P 0.9874 0.9874 5.6931
P 2.9622 2.9622 2.8918
Pt 0.9874 2.9622 4.2924
Pt 2.9622 0.9874 4.2924
O 0.9874 2.9622 0.0000
O 2.9622 0.9874 0.0000
```

---

What is the energy relative to the lowest polymorph listed for this composition in the second record? 0.00 eV/f.u.